a | BaLa2O4: optimized geometry, GGA-PBEsol.

Summary:
**Density of states at the Fermi level**: 0.0000 states/eV/atom
**Size of the total moment**: 0.00 μB per formula unit
**Crystal system**: orthorhombic

a b c (Å): 10.613 3.676 12.547
angles (deg): 90.00 90.00 90.00
Space group Pnma (No. 62)
One atom of each set of equivalent atoms:
Ba (0.249, 0.250, 0.146) [4 per cell]
La (0.073, 0.750, 0.385) [4 per cell]
La (0.085, 0.750, 0.889) [4 per cell]
O (0.010, 0.250, 0.283) [4 per cell]
O (0.067, 0.750, 0.078) [4 per cell]
O (0.127, 0.250, 0.515) [4 per cell]
O (0.214, 0.250, 0.822) [4 per cell]

b | BaLa2O4: optimized geometry, GGA-PBEsol.

Summary:
**Density of states at the Fermi level**: 0.0000 states/eV/atom
**Size of the total moment**: 0.00 μB per formula unit
**Crystal system**: orthorhombic

a b c (Å): 3.609 11.948 11.676
angles (deg): 90.00 90.00 90.00
Space group Cmcm (No. 63)
One atom of each set of equivalent atoms:
Ba (0.000, 0.113, 0.250) [4 per cell]
La (0.000, 0.367, 0.072) [8 per cell]
O (0.000, 0.000, 0.000) [4 per cell]
O (0.000, 0.262, 0.605) [8 per cell]
O (0.000, 0.457, 0.250) [4 per cell]

Energy above the most stable structure, in kJ/mol of atoms: a 0.0; b 4.2

a | SrTe2Br: optimized geometry, GGA-PBEsol.

Summary:
**Density of states at the Fermi level**: 0.1812 states/eV/atom
**Size of the total moment**: 0.00 μB per formula unit
**Crystal system**: monoclinic

a b c (Å): 4.319 4.319 6.966
angles (deg): 90.00 90.26 90.00
Space group Pm (No. 6)
One atom of each set of equivalent atoms:
Sr (0.000, 0.000, 0.000) [1 per cell]
Te (0.003, 0.500, 0.378) [1 per cell]
Te (0.503, 0.000, 0.378) [1 per cell]
Br (0.499, 0.500, 0.877) [1 per cell]

b | SrTe2Br: optimized geometry, GGA-PBEsol.

Summary:
**Density of states at the Fermi level**: 1.5126 states/eV/atom
**Size of the total moment**: 0.00 μB per formula unit
**Crystal system**: cubic

a b c (Å): 7.828 7.828 7.828
angles (deg): 90.00 90.00 90.00
Space group F-43m (No. 216)
One atom of each set of equivalent atoms:
Sr (0.000, 0.000, 0.000) [4 per cell]
Te (0.000, 0.000, 0.500) [4 per cell]
Te (0.250, 0.250, 0.250) [4 per cell]
Br (0.250, 0.250, 0.750) [4 per cell]

Energy above the most stable structure, in kJ/mol of atoms: a 0.0; b 43.6